[1]
This record from Alexandria via LeMat-Bulk describes a geometry-optimized Ba2Zr7O16 structure. The functional is PBE.

Unit cell a=6.5609 b=6.5609 c=27.4744 alpha=90.00 beta=90.00 gamma=120.00
Space group R-3 (No. 148, hexagonal axes)
One atom of each set of equivalent atoms:
Ba (0.0000, 0.0000, 0.1664)
Zr (0.0000, 0.0000, 0.5000)
Zr (0.0018, 0.3701, 0.3835)
O (0.0000, 0.0000, 0.0684)
O (0.0000, 0.0000, 0.2659)
O (0.0052, 0.2695, 0.4552)
O (0.0131, 0.2901, 0.6373)

Properties
Fermi-level density of states	0.0	states/eV/f.u.
formation energy from raw total energies	-3.270	eV/atom



[2]
This record from Alexandria via LeMat-Bulk describes a geometry-optimized BaZrO3 structure. The functional is PBE.

Unit cell a=4.668 b=4.668 c=4.668 alpha=90.00 beta=90.00 gamma=90.00
Space group Pm-3m (No. 221)
One atom of each set of equivalent atoms:
Ba (0.000, 0.000, 0.000)
Zr (0.500, 0.500, 0.500)
O (0.000, 0.000, 0.500)

Properties
Fermi-level density of states	6.3	states/eV/f.u.
formation energy from raw total energies	-0.265	eV/atom



> Among the records above, which one has the lowest formation energy from raw total energies?

Ba2Zr7O16



> What is the formation energy from raw total energies in the second record?

-0.265 eV/atom



> Which formula does entry 1 have?

Ba2Zr7O16